[1]
Computed, not measured: crystalline CdGaO2F at its relaxed geometry at the PBEsol level of DFT.

Cell lengths 3.8474, 3.8474, 3.8018 Å; angles 90.00, 90.00, 90.00 degrees
Fractional positions:
Cd (0.0000, 0.0000, 0.0000)
Ga (0.5000, 0.5000, 0.5000)
O (0.0000, 0.5000, 0.5000)
O (0.5000, 0.0000, 0.5000)
F (0.5000, 0.5000, 0.0000)

Results
Uncorrected energy (Ry per atom): -0.359
ΔE_f (raw) (meV/atom): -1494
Total moment (μB per cell): 0.0

[2]
Computed, not measured: crystalline ScMnRh at its relaxed geometry at the PBEsol level of DFT.

Cell lengths 5.2884, 5.2884, 5.2884 Å; angles 146.08, 146.08, 48.73 degrees
Fractional positions:
Sc (0.0000, 0.0000, 0.0000)
Mn (0.3172, 0.3172, 0.0000)
Rh (0.6700, 0.6700, 0.0000)

Results
Uncorrected energy (Ry per atom): -0.616
Formation energy from the elements (eV per atom): -0.211
Total moment (μB per cell): 3.2

[3]
Computed, not measured: crystalline AlCr2 at its relaxed geometry at the PBEsol level of DFT.

Cell lengths 4.7574, 4.7574, 4.7574 Å; angles 144.26, 144.26, 51.44 degrees
Fractional positions:
Al (0.0000, 0.0000, 0.0000)
Cr (0.3154, 0.3154, 0.0000)
Cr (0.6846, 0.6846, 0.0000)

Results
Uncorrected energy (Ry per atom): -0.611
Formation energy from the elements (eV per atom): -0.118
Total moment (μB per cell): 0.0

[4]
Computed, not measured: crystalline LiCeHg2 at its relaxed geometry at the PBEsol level of DFT.

Cell lengths 5.0462, 5.0462, 5.0462 Å; angles 60.00, 60.00, 60.00 degrees
Fractional positions:
Li (0.0000, 0.0000, 0.0000)
Ce (0.5000, 0.5000, 0.5000)
Hg (0.2500, 0.2500, 0.2500)
Hg (0.7500, 0.7500, 0.7500)

Results
Uncorrected energy (Ry per atom): -0.206
Formation energy from the elements (eV per atom): -0.382
Total moment (μB per cell): 0.7

[5]
Computed, not measured: crystalline CdAs2Ru at its relaxed geometry at the PBEsol level of DFT.

Cell lengths 2.9771, 2.9771, 7.9577 Å; angles 90.00, 90.00, 90.00 degrees
Fractional positions:
Cd (0.0000, 0.0000, 0.0000)
As (0.0000, 0.0000, 0.4099)
As (0.5000, 0.5000, 0.7232)
Ru (0.5000, 0.5000, 0.2488)

Results
Uncorrected energy (Ry per atom): -0.392
Formation energy from the elements (eV per atom): 0.061
Total moment (μB per cell): 0.0

[6]
Computed, not measured: crystalline BaInCo2Hg at its relaxed geometry at the PBEsol level of DFT.

Cell lengths 4.9329, 4.9329, 5.3196 Å; angles 90.00, 90.00, 90.00 degrees
Fractional positions:
Ba (0.0000, 0.0000, 0.0000)
In (0.5000, 0.5000, 0.5000)
Co (0.0000, 0.5000, 0.5000)
Co (0.5000, 0.0000, 0.5000)
Hg (0.5000, 0.5000, 0.0000)

Results
Uncorrected energy (Ry per atom): -0.258
Formation energy from the elements (eV per atom): 0.722
Total moment (μB per cell): 2.9

[7]
Computed, not measured: crystalline LaY2ScTc at its relaxed geometry at the PBEsol level of DFT.

Cell lengths 5.2480, 5.2480, 5.3722 Å; angles 90.00, 90.00, 90.00 degrees
Fractional positions:
La (0.0000, 0.0000, 0.0000)
Y (0.0000, 0.5000, 0.5000)
Y (0.5000, 0.0000, 0.5000)
Sc (0.0000, 0.0000, 0.5000)
Tc (0.5000, 0.5000, 0.0000)

Results
Uncorrected energy (Ry per atom): -0.438
Formation energy from the elements (eV per atom): 1.408
Total moment (μB per cell): 3.8

[8]
Computed, not measured: crystalline Ba2SrAu at its relaxed geometry at the PBEsol level of DFT.

Cell lengths 11.1582, 11.1582, 11.1582 Å; angles 23.34, 23.34, 23.34 degrees
Fractional positions:
Ba (0.0000, 0.0000, 0.0000)
Ba (0.2172, 0.2172, 0.2172)
Sr (0.7765, 0.7765, 0.7765)
Au (0.4938, 0.4938, 0.4938)

Results
Uncorrected energy (Ry per atom): -0.208
Formation energy from the elements (eV per atom): -0.319
Total moment (μB per cell): 0.0

[9]
Computed, not measured: crystalline CoReAu2 at its relaxed geometry at the PBEsol level of DFT.

Cell lengths 4.8772, 4.8772, 2.6662 Å; angles 90.00, 90.00, 110.70 degrees
Fractional positions:
Co (0.0000, 0.0000, 0.0000)
Re (0.5000, 0.5000, 0.0000)
Au (0.0000, 0.5000, 0.5000)
Au (0.5000, 0.0000, 0.5000)

Results
Uncorrected energy (Ry per atom): -0.496
Formation energy from the elements (eV per atom): 0.484
Total moment (μB per cell): 2.3

[10]
Computed, not measured: crystalline SnMo2P2 at its relaxed geometry at the PBEsol level of DFT.

Cell lengths 6.9046, 6.9046, 6.9046 Å; angles 150.78, 150.78, 41.80 degrees
Fractional positions:
Sn (0.0000, 0.0000, 0.0000)
Mo (0.3803, 0.3803, 0.0000)
Mo (0.6197, 0.6197, 0.0000)
P (0.2500, 0.7500, 0.5000)
P (0.7500, 0.2500, 0.5000)

Results
Uncorrected energy (Ry per atom): -0.596
Formation energy from the elements (eV per atom): -0.230
Total moment (μB per cell): 0.0

[11]
Computed, not measured: crystalline Ho2Cr2C3 at its relaxed geometry at the PBEsol level of DFT.

Cell lengths 5.4050, 5.4050, 5.4847 Å; angles 105.16, 105.16, 35.78 degrees
Fractional positions:
Ho (0.1060, 0.1060, 0.3167)
Ho (0.8940, 0.8940, 0.6833)
Cr (0.3434, 0.3434, 0.1113)
Cr (0.6566, 0.6566, 0.8887)
C (0.2160, 0.2160, 0.7687)
C (0.5000, 0.5000, 0.0000)
C (0.7840, 0.7840, 0.2313)

Results
Uncorrected energy (Ry per atom): -0.651
Formation energy from the elements (eV per atom): -0.386
Total moment (μB per cell): 0.0

[12]
Computed, not measured: crystalline Cd2FeTc at its relaxed geometry at the PBEsol level of DFT.

Cell lengths 3.8754, 3.8754, 4.2139 Å; angles 90.00, 90.00, 90.00 degrees
Fractional positions:
Cd (0.0000, 0.5000, 0.0000)
Cd (0.5000, 0.0000, 0.0000)
Fe (0.0000, 0.0000, 0.5000)
Tc (0.5000, 0.5000, 0.5000)

Results
Uncorrected energy (Ry per atom): -0.382
Formation energy from the elements (eV per atom): 0.463
Total moment (μB per cell): 3.6